[1]
The following is a DFT calculation (PBE) of a relaxed structure of Pr2SmHg3.

Values from the calculation:
- Space-group type: P4/mmm
- Calculated formation energy: -0.47 eV/atom

Lattice parameters (Å, degrees): 3.841 3.841 11.542 90.00 90.00 90.00
Fractional positions:
Pr: 0.000 0.000 0.169
Pr: 0.000 0.000 0.831
Sm: 0.000 0.000 0.500
Hg: 0.500 0.500 0.000
Hg: 0.500 0.500 0.341
Hg: 0.500 0.500 0.659

[2]
The following is a DFT calculation (PBE) of a relaxed structure of Co2TcS.

Values from the calculation:
- Energy relative to the elements, uncorrected: 521 meV/atom
- Space-group type: I-42d

Lattice parameters (Å, degrees): 5.046 5.046 10.253 90.00 90.00 90.00
Fractional positions:
Co: 0.225 0.250 0.125
Co: 0.250 0.725 0.375
Co: 0.250 0.775 0.875
Co: 0.275 0.250 0.625
Co: 0.725 0.750 0.625
Co: 0.750 0.225 0.875
Co: 0.750 0.275 0.375
Co: 0.775 0.750 0.125
Tc: 0.000 0.000 0.500
Tc: 0.000 0.500 0.750
Tc: 0.500 0.000 0.250
Tc: 0.500 0.500 0.000
S: 0.000 0.000 0.000
S: 0.000 0.500 0.250
S: 0.500 0.000 0.750
S: 0.500 0.500 0.500

[3]
The following is a DFT calculation (PBE) of a relaxed structure of Ba8In2Pb.

Values from the calculation:
- Space-group type: C2/m
- Calculated formation energy: -0.30 eV/atom
- E above lowest polymorph: 0.000 eV per atom

Lattice parameters (Å, degrees): 11.060 11.060 8.680 109.84 109.84 31.85
Fractional positions:
Ba: 0.027 0.027 0.282
Ba: 0.199 0.199 0.800
Ba: 0.332 0.332 0.548
Ba: 0.402 0.402 0.056
Ba: 0.598 0.598 0.944
Ba: 0.668 0.668 0.452
Ba: 0.801 0.801 0.200
Ba: 0.973 0.973 0.718
In: 0.182 0.182 0.190
In: 0.818 0.818 0.810
Pb: 0.500 0.500 0.500

[4]
The following is a DFT calculation (PBE) of a relaxed structure of La2Ga3Ni.

Values from the calculation:
- Space-group type: Fmmm
- Calculated formation energy: -0.59 eV/atom

Lattice parameters (Å, degrees): 8.862 8.654 5.986 71.90 68.15 39.95
Fractional positions:
La: 0.236 0.764 0.764
La: 0.250 0.250 0.250
La: 0.750 0.750 0.750
La: 0.764 0.236 0.236
Ga: 0.162 0.666 0.334
Ga: 0.330 0.330 0.670
Ga: 0.334 0.838 0.162
Ga: 0.666 0.162 0.838
Ga: 0.670 0.670 0.330
Ga: 0.838 0.334 0.666
Ni: 0.166 0.166 0.834
Ni: 0.834 0.834 0.166

[5]
The following is a DFT calculation (PBE) of a relaxed structure of LiCd.

Values from the calculation:
- Space-group type: P2_13
- Calculated formation energy: -0.20 eV/atom

Lattice parameters (Å, degrees): 5.342 5.342 5.342 90.00 90.00 90.00
Fractional positions:
Li: 0.096 0.096 0.096
Li: 0.404 0.904 0.596
Li: 0.596 0.404 0.904
Li: 0.904 0.596 0.404
Cd: 0.099 0.599 0.901
Cd: 0.401 0.401 0.401
Cd: 0.599 0.901 0.099
Cd: 0.901 0.099 0.599

[6]
The following is a DFT calculation (PBE) of a relaxed structure of Sm2NpTe4.

Values from the calculation:
- Energy relative to the elements, uncorrected: -1125 meV/atom
- Space-group type: Cmcm

Lattice parameters (Å, degrees): 7.599 7.599 15.085 90.00 90.00 146.80
Fractional positions:
Sm: 0.134 0.866 0.567
Sm: 0.134 0.866 0.933
Sm: 0.866 0.134 0.067
Sm: 0.866 0.134 0.433
Np: 0.379 0.621 0.750
Np: 0.621 0.379 0.250
Te: 0.037 0.963 0.750
Te: 0.223 0.777 0.126
Te: 0.223 0.777 0.374
Te: 0.500 0.500 0.000
Te: 0.500 0.500 0.500
Te: 0.777 0.223 0.626
Te: 0.777 0.223 0.874
Te: 0.963 0.037 0.250

[7]
The following is a DFT calculation (PBE) of a relaxed structure of Th2MgAl4Pd3.

Values from the calculation:
- Space-group type: P-4m2
- Calculated formation energy: -0.68 eV/atom

Lattice parameters (Å, degrees): 4.286 4.286 10.913 90.00 90.00 90.00
Fractional positions:
Th: 0.000 0.500 0.240
Th: 0.500 0.000 0.760
Mg: 0.000 0.000 0.500
Al: 0.000 0.000 0.000
Al: 0.000 0.500 0.647
Al: 0.500 0.000 0.353
Al: 0.500 0.500 0.000
Pd: 0.000 0.500 0.873
Pd: 0.500 0.000 0.127
Pd: 0.500 0.500 0.500

[8]
The following is a DFT calculation (PBE) of a relaxed structure of LiPmThTe3.

Values from the calculation:
- Energy relative to the elements, uncorrected: -1167 meV/atom
- Space-group type: P2_1/m

Lattice parameters (Å, degrees): 9.398 4.172 9.631 90.00 106.76 90.00
Fractional positions:
Li: 0.084 0.250 0.094
Li: 0.916 0.750 0.906
Pm: 0.183 0.250 0.737
Pm: 0.817 0.750 0.263
Th: 0.356 0.750 0.363
Th: 0.644 0.250 0.637
Te: 0.096 0.250 0.382
Te: 0.222 0.750 0.008
Te: 0.423 0.750 0.709
Te: 0.577 0.250 0.291
Te: 0.778 0.250 0.992
Te: 0.904 0.750 0.618

[9]
The following is a DFT calculation (PBE) of a relaxed structure of SrCePtRh.

Values from the calculation:
- Space-group type: F-43m
- Calculated formation energy: -0.62 eV/atom

Lattice parameters (Å, degrees): 7.145 7.145 7.145 90.00 90.00 90.00
Fractional positions:
Sr: 0.000 0.000 0.000
Sr: 0.000 0.500 0.500
Sr: 0.500 0.000 0.500
Sr: 0.500 0.500 0.000
Ce: 0.000 0.000 0.500
Ce: 0.000 0.500 0.000
Ce: 0.500 0.000 0.000
Ce: 0.500 0.500 0.500
Pt: 0.250 0.250 0.750
Pt: 0.250 0.750 0.250
Pt: 0.750 0.250 0.250
Pt: 0.750 0.750 0.750
Rh: 0.250 0.250 0.250
Rh: 0.250 0.750 0.750
Rh: 0.750 0.250 0.750
Rh: 0.750 0.750 0.250

[10]
The following is a DFT calculation (PBE) of a relaxed structure of HoEr2Tm3Sb6.

Values from the calculation:
- Energy relative to the elements, uncorrected: -1084 meV/atom
- Space-group type: C2/m

Lattice parameters (Å, degrees): 9.717 9.717 8.693 102.86 102.86 25.84
Fractional positions:
Ho: 0.000 0.000 0.000
Er: 0.333 0.333 0.667
Er: 0.667 0.667 0.333
Tm: 0.000 0.000 0.500
Tm: 0.333 0.333 0.167
Tm: 0.667 0.667 0.833
Sb: 0.166 0.166 0.584
Sb: 0.167 0.167 0.083
Sb: 0.500 0.500 0.251
Sb: 0.500 0.500 0.749
Sb: 0.833 0.833 0.917
Sb: 0.834 0.834 0.416

[11]
The following is a DFT calculation (PBE) of a relaxed structure of BC3.

Values from the calculation:
- Space-group type: Cm
- Calculated formation energy: 0.30 eV/atom
- E above lowest polymorph: 0.056 eV per atom

Lattice parameters (Å, degrees): 4.512 4.512 7.626 115.12 115.12 32.17
Fractional positions:
B: 0.000 0.000 0.000
B: 0.002 0.002 0.486
B: 0.501 0.501 0.648
C: 0.173 0.173 0.963
C: 0.174 0.174 0.457
C: 0.323 0.323 0.672
C: 0.336 0.336 0.175
C: 0.500 0.500 0.144
C: 0.670 0.670 0.337
C: 0.677 0.677 0.854
C: 0.825 0.825 0.786
C: 0.828 0.828 0.286

[12]
The following is a DFT calculation (PBE) of a relaxed structure of Y2Ho12Th.

Values from the calculation:
- Space-group type: P2/m
- Calculated formation energy: 0.07 eV/atom

Lattice parameters (Å, degrees): 3.591 5.648 23.440 90.00 94.37 90.00
Fractional positions:
Y: 0.140 0.000 0.285
Y: 0.860 0.000 0.715
Ho: 0.094 0.500 0.194
Ho: 0.220 0.500 0.443
Ho: 0.289 0.000 0.574
Ho: 0.341 0.500 0.677
Ho: 0.432 0.000 0.854
Ho: 0.465 0.500 0.933
Ho: 0.535 0.500 0.067
Ho: 0.568 0.000 0.146
Ho: 0.659 0.500 0.323
Ho: 0.711 0.000 0.426
Ho: 0.780 0.500 0.557
Ho: 0.906 0.500 0.806
Th: 0.000 0.000 0.000

[13]
The following is a DFT calculation (PBE) of a relaxed structure of B.

Values from the calculation:
- Space-group type: R-3m
- Calculated formation energy: 0.02 eV/atom
- E above lowest polymorph: 0.023 eV per atom

Lattice parameters (Å, degrees): 10.125 10.125 10.125 65.23 65.23 65.23
Fractional positions:
B: 0.000 0.000 0.000
B: 0.006 0.699 0.699
B: 0.010 0.396 0.396
B: 0.011 0.011 0.279
B: 0.011 0.279 0.011
B: 0.051 0.395 0.666
B: 0.051 0.666 0.395
B: 0.068 0.884 0.884
B: 0.080 0.596 0.863
B: 0.080 0.863 0.596
B: 0.115 0.115 0.115
B: 0.116 0.116 0.932
B: 0.116 0.932 0.116
B: 0.118 0.118 0.287
B: 0.118 0.287 0.118
B: 0.125 0.300 0.816
B: 0.125 0.816 0.300
B: 0.137 0.404 0.920
B: 0.137 0.920 0.404
B: 0.150 0.326 0.496
B: 0.150 0.496 0.326
B: 0.166 0.496 0.496
B: 0.184 0.700 0.875
B: 0.184 0.875 0.700
B: 0.187 0.699 0.699
B: 0.279 0.011 0.011
B: 0.287 0.118 0.118
B: 0.300 0.125 0.816
B: 0.300 0.816 0.125
B: 0.301 0.301 0.813
B: 0.301 0.301 0.994
B: 0.301 0.813 0.301
B: 0.301 0.994 0.301
B: 0.326 0.150 0.496
B: 0.326 0.496 0.150
B: 0.334 0.605 0.949
B: 0.334 0.949 0.605
B: 0.336 0.497 0.497
B: 0.342 0.599 0.599
B: 0.395 0.051 0.666
B: 0.395 0.666 0.051
B: 0.396 0.010 0.396
B: 0.396 0.396 0.010
B: 0.401 0.401 0.658
B: 0.401 0.658 0.401
B: 0.404 0.137 0.920
B: 0.404 0.920 0.137
B: 0.496 0.150 0.326
B: 0.496 0.166 0.496
B: 0.496 0.326 0.150
B: 0.496 0.496 0.166
B: 0.497 0.336 0.497
B: 0.497 0.497 0.336
B: 0.503 0.503 0.664
B: 0.503 0.664 0.503
B: 0.504 0.504 0.834
B: 0.504 0.674 0.850
B: 0.504 0.834 0.504
B: 0.504 0.850 0.674
B: 0.596 0.080 0.863
B: 0.596 0.863 0.080
B: 0.599 0.342 0.599
B: 0.599 0.599 0.342
B: 0.604 0.604 0.990
B: 0.604 0.990 0.604
B: 0.605 0.334 0.949
B: 0.605 0.949 0.334
B: 0.658 0.401 0.401
B: 0.664 0.503 0.503
B: 0.666 0.051 0.395
B: 0.666 0.395 0.051
B: 0.674 0.504 0.850
B: 0.674 0.850 0.504
B: 0.699 0.006 0.699
B: 0.699 0.187 0.699
B: 0.699 0.699 0.006
B: 0.699 0.699 0.187
B: 0.700 0.184 0.875
B: 0.700 0.875 0.184
B: 0.713 0.882 0.882
B: 0.721 0.989 0.989
B: 0.813 0.301 0.301
B: 0.816 0.125 0.300
B: 0.816 0.300 0.125
B: 0.834 0.504 0.504
B: 0.850 0.504 0.674
B: 0.850 0.674 0.504
B: 0.863 0.080 0.596
B: 0.863 0.596 0.080
B: 0.875 0.184 0.700
B: 0.875 0.700 0.184
B: 0.882 0.713 0.882
B: 0.882 0.882 0.713
B: 0.884 0.068 0.884
B: 0.884 0.884 0.068
B: 0.885 0.885 0.885
B: 0.920 0.137 0.404
B: 0.920 0.404 0.137
B: 0.932 0.116 0.116
B: 0.949 0.334 0.605
B: 0.949 0.605 0.334
B: 0.989 0.721 0.989
B: 0.989 0.989 0.721
B: 0.990 0.604 0.604
B: 0.994 0.301 0.301

[14]
The following is a DFT calculation (PBE) of a relaxed structure of CeThMn.

Values from the calculation:
- Space-group type: P2_1/c
- Calculated formation energy: 0.10 eV/atom
- E above lowest polymorph: 0.064 eV per atom

Lattice parameters (Å, degrees): 6.569 6.531 9.261 90.00 130.39 90.00
Fractional positions:
Ce: 0.145 0.022 0.401
Ce: 0.145 0.478 0.901
Ce: 0.855 0.522 0.099
Ce: 0.855 0.978 0.599
Th: 0.325 0.531 0.590
Th: 0.325 0.969 0.090
Th: 0.675 0.031 0.910
Th: 0.675 0.469 0.410
Mn: 0.176 0.205 0.726
Mn: 0.176 0.295 0.226
Mn: 0.824 0.705 0.774
Mn: 0.824 0.795 0.274

VASP energy for the records above, in order: -3.003, -6.655, -2.533, -4.713, -1.614, -6.117, -5.380, -5.085, -5.867, -5.405, -8.291, -4.946, -6.655, -7.404 eV per atom